Crystalline K2ZrRu at its relaxed geometry, computed with GGA-PBE.

Properties
DFT total energy, eV for the cell shown: -17.65
ΔH_f (0 K), eV per atom: 0.593

Cell lengths 7.2140, 7.2140, 7.2140 Å; angles 151.89, 126.67, 61.37 degrees
Closest atoms and distances in Å follow each position.
Fractional coordinates of all 4 atoms:
K  0.0110  0.0110  0.0000  2 K 3.50, 4 Ru 3.74
K  0.7019  0.2019  0.5000  2 Ru 3.48, 2 K 3.50
Ru  0.4598  0.4598  0.0000  2 Zr 2.40
Zr  0.3273  0.8273  0.5000  2 Ru 2.40

=====

Crystalline PaMnZn2 at its relaxed geometry, computed with GGA-PBE.

Properties
DFT total energy, eV for the cell shown: -20.59
ΔH_f (0 K), eV per atom: 0.156

Cell lengths 4.7127, 4.7127, 4.7127 Å; angles 60.00, 60.00, 60.00 degrees
Closest atoms and distances in Å follow each position.
Fractional coordinates of all 4 atoms:
Zn  0.2500  0.2500  0.2500  4 Mn 2.89, 4 Pa 2.89
Zn  0.7500  0.7500  0.7500  4 Mn 2.89, 4 Pa 2.89
Pa  0.0000  0.0000  0.0000  8 Zn 2.89
Mn  0.5000  0.5000  0.5000  8 Zn 2.89

=====

Crystalline Cd4BiPb at its relaxed geometry, computed with GGA-PBE.

Properties
DFT total energy, eV for the cell shown: -20.95
ΔH_f (0 K), eV per atom: 0.129

Cell lengths 4.8267, 8.3206, 9.1568 Å; angles 90.00, 105.28, 90.00 degrees
Closest atoms and distances in Å follow each position.
Fractional coordinates of all 12 atoms:
Cd  0.2221  0.4287  0.4442  3 Cd 2.86-2.97, 2 Pb 3.12, 1 Bi 3.14
Cd  0.7779  0.5713  0.5558  3 Cd 2.86-2.97, 2 Pb 3.12, 1 Bi 3.14
Cd  0.2221  0.0713  0.4442  3 Cd 2.86-2.97, 2 Pb 3.12, 1 Bi 3.14
Cd  0.7779  0.9287  0.5558  3 Cd 2.86-2.97, 2 Pb 3.12, 1 Bi 3.14
Cd  0.5229  0.7500  0.0458  1 Pb 3.02, 2 Bi 3.05, 4 Cd 3.21
Cd  0.4771  0.2500  0.9542  1 Pb 3.02, 2 Bi 3.05, 4 Cd 3.21
Cd  0.0000  0.5000  0.0000  2 Bi 3.08, 4 Cd 3.21
Cd  0.0000  0.0000  0.0000  2 Bi 3.08, 4 Cd 3.21
Bi  0.1286  0.7500  0.2571  6 Cd 3.05-3.14
Bi  0.8714  0.2500  0.7429  6 Cd 3.05-3.14
Pb  0.3519  0.7500  0.7038  5 Cd 3.02-3.12
Pb  0.6481  0.2500  0.2962  5 Cd 3.02-3.12

=====

Crystalline ZrCd2BiN at its relaxed geometry, computed with GGA-PBE.

Properties
DFT total energy, eV for the cell shown: -15.82

Cell lengths 5.7437, 4.1973, 5.7437 Å; angles 90.00, 90.00, 90.00 degrees
Closest atoms and distances in Å follow each position.
Fractional coordinates of all 5 atoms:
N  0.0000  0.5000  0.0000  2 Bi 2.10
Bi  0.0000  0.0000  0.0000  2 N 2.10
Zr  0.5000  0.5000  0.5000  8 Cd 3.56
Cd  0.0000  0.0000  0.5000  2 Bi 2.87
Cd  0.5000  0.0000  0.0000  2 Bi 2.87

=====

Crystalline Li2BF6 at its relaxed geometry, computed with GGA-PBE.

Properties
DFT total energy, eV for the cell shown: -84.25

Cell lengths 4.4466, 4.4466, 8.4994 Å; angles 90.00, 90.00, 90.00 degrees
Closest atoms and distances in Å follow each position.
Fractional coordinates of all 18 atoms:
Li  0.0000  0.0000  0.3334  6 F 2.02-2.09
Li  0.5000  0.5000  0.8334  6 F 2.02-2.09
Li  0.5000  0.5000  0.1666  6 F 2.02-2.09
Li  0.0000  0.0000  0.6666  6 F 2.02-2.09
B  0.0000  0.0000  0.0000  6 F 1.61-1.62
B  0.5000  0.5000  0.5000  6 F 1.61-1.62
F  0.3202  0.3202  0.3633  1 B 1.62
F  0.6798  0.6798  0.3633  1 B 1.62
F  0.1798  0.8202  0.8633  1 B 1.62
F  0.8202  0.1798  0.8633  1 B 1.62
F  0.1798  0.8202  0.1367  1 B 1.62
F  0.8202  0.1798  0.1367  1 B 1.62
F  0.3202  0.3202  0.6367  1 B 1.62
F  0.6798  0.6798  0.6367  1 B 1.62
F  0.2553  0.2553  0.0000  1 B 1.61
F  0.7447  0.7447  0.0000  1 B 1.61
F  0.2447  0.7553  0.5000  1 B 1.61
F  0.7553  0.2447  0.5000  1 B 1.61

=====

Crystalline SrErTl2 at its relaxed geometry, computed with GGA-PBE.

Properties
DFT total energy, eV for the cell shown: -11.78
ΔH_f (0 K), eV per atom: -0.201

Cell lengths 3.8684, 3.8684, 10.2655 Å; angles 79.14, 79.14, 60.00 degrees
Closest atoms and distances in Å follow each position.
Fractional coordinates of all 4 atoms:
Sr  0.4994  0.4994  0.5019  6 Tl 3.45-3.48
Er  0.6674  0.6674  0.9979  6 Tl 3.24-3.27
Tl  0.0786  0.0786  0.7642  3 Er 3.24, 3 Sr 3.45
Tl  0.2547  0.2547  0.2360  3 Er 3.27, 3 Sr 3.48

=====

Crystalline Ti2Bi2Mo at its relaxed geometry, computed with GGA-PBE.

Properties
DFT total energy, eV for the cell shown: -65.39
ΔH_f (0 K), eV per atom: 0.338

Cell lengths 7.4499, 7.4499, 3.7499 Å; angles 90.00, 90.00, 90.00 degrees
Closest atoms and distances in Å follow each position.
Fractional coordinates of all 10 atoms:
Mo  0.0000  0.0000  0.0000  4 Bi 2.82
Mo  0.5000  0.5000  0.0000  4 Bi 2.82
Bi  0.3443  0.8443  0.0000  2 Mo 2.82, 6 Ti 2.83-2.91
Bi  0.8443  0.6557  0.0000  2 Mo 2.82, 6 Ti 2.83-2.91
Bi  0.6557  0.1557  0.0000  2 Mo 2.82, 6 Ti 2.83-2.91
Bi  0.1557  0.3443  0.0000  2 Mo 2.82, 6 Ti 2.83-2.91
Ti  0.1431  0.6431  0.5000  6 Bi 2.83-2.91, 1 Ti 3.02
Ti  0.6431  0.8569  0.5000  6 Bi 2.83-2.91, 1 Ti 3.02
Ti  0.8569  0.3569  0.5000  6 Bi 2.83-2.91, 1 Ti 3.02
Ti  0.3569  0.1431  0.5000  6 Bi 2.83-2.91, 1 Ti 3.02

=====

Crystalline SrTe5Pb4 at its relaxed geometry, computed with GGA-PBE.

Properties
DFT total energy, eV for the cell shown: -38.90

Cell lengths 4.6588, 6.5838, 12.3661 Å; angles 105.44, 100.86, 90.00 degrees
Closest atoms and distances in Å follow each position.
Fractional coordinates of all 10 atoms:
Sr  0.0000  0.0000  0.0000  6 Te 3.29-3.34
Te  0.6024  0.1024  0.2049  4 Pb 3.28-3.29, 2 Sr 3.34
Te  0.8006  0.3006  0.6012  6 Pb 3.28-3.29
Te  0.1994  0.6994  0.3988  6 Pb 3.28-3.29
Te  0.0000  0.5000  0.0000  2 Sr 3.29, 4 Pb 3.31
Te  0.3976  0.8976  0.7951  4 Pb 3.28-3.29, 2 Sr 3.34
Pb  0.3995  0.3995  0.7991  6 Te 3.28-3.31
Pb  0.7989  0.7989  0.5978  6 Te 3.28-3.29
Pb  0.2011  0.2011  0.4022  6 Te 3.28-3.29
Pb  0.6005  0.6005  0.2009  6 Te 3.28-3.31

=====

Crystalline Be3FeRe at its relaxed geometry, computed with GGA-PBE.

Properties
DFT total energy, eV for the cell shown: -25.88
ΔH_f (0 K), eV per atom: 1.241

Cell lengths 4.1813, 4.1813, 4.1813 Å; angles 90.00, 90.00, 90.00 degrees
Closest atoms and distances in Å follow each position.
Fractional coordinates of all 5 atoms:
Re  0.0000  0.0000  0.0000  6 Be 2.09
Fe  0.5000  0.5000  0.5000  12 Be 2.96
Be  0.0000  0.5000  0.0000  2 Re 2.09
Be  0.0000  0.0000  0.5000  2 Re 2.09
Be  0.5000  0.0000  0.0000  2 Re 2.09

=====

Crystalline Tm2Al9Pt3 at its relaxed geometry, computed with GGA-PBE.

Properties
DFT total energy, eV for the cell shown: -144.61
ΔH_f (0 K), eV per atom: -0.826

Cell lengths 7.6337, 7.6337, 10.3757 Å; angles 89.82, 111.66, 120.17 degrees
Closest atoms and distances in Å follow each position.
Fractional coordinates of all 28 atoms:
Tm  0.3361  0.2468  0.7504  11 Al 3.00-3.15
Tm  0.6639  0.7532  0.2496  11 Al 3.00-3.15
Tm  0.9964  0.5857  0.7496  11 Al 3.00-3.15
Tm  0.0036  0.4143  0.2504  11 Al 3.00-3.15
Al  0.4592  0.9184  0.7483  2 Pt 2.54-2.55, 6 Al 2.76-2.81
Al  0.5408  0.0816  0.2517  2 Pt 2.54-2.55, 6 Al 2.76-2.81
Al  0.6701  0.7109  0.7517  2 Pt 2.54-2.55, 6 Al 2.76-2.81
Al  0.3299  0.2891  0.2483  2 Pt 2.54-2.55, 6 Al 2.76-2.81
Al  0.4466  0.6400  0.9219  3 Pt 2.58-2.65, 3 Al 2.76-2.86
Al  0.5534  0.3600  0.0781  3 Pt 2.58-2.65, 3 Al 2.76-2.86
Al  0.2181  0.5247  0.5781  3 Pt 2.58-2.65, 3 Al 2.76-2.86
Al  0.7819  0.4753  0.4219  3 Pt 2.58-2.65, 3 Al 2.76-2.86
Al  0.8785  0.1285  0.7500  2 Pt 2.55, 6 Al 2.76-2.83
Al  0.1215  0.8715  0.2500  2 Pt 2.55, 6 Al 2.76-2.83
Al  0.1259  0.9803  0.9365  3 Pt 2.61-2.68, 5 Al 2.81-2.86
Al  0.8741  0.0197  0.0635  3 Pt 2.61-2.68, 5 Al 2.81-2.86
Al  0.5438  0.1895  0.5635  3 Pt 2.61-2.68, 5 Al 2.81-2.86
Al  0.4562  0.8105  0.4365  3 Pt 2.61-2.68, 5 Al 2.81-2.86
Al  0.8836  0.8591  0.5752  3 Pt 2.59-2.64, 3 Al 2.76-2.86
Al  0.1164  0.1409  0.4248  3 Pt 2.59-2.64, 3 Al 2.76-2.86
Al  0.7839  0.3084  0.9248  3 Pt 2.59-2.64, 3 Al 2.76-2.86
Al  0.2161  0.6916  0.0752  3 Pt 2.59-2.64, 3 Al 2.76-2.86
Pt  0.5000  0.0000  0.0000  8 Al 2.55-2.65
Pt  0.5000  0.5000  0.5000  8 Al 2.55-2.65
Pt  0.8436  0.1721  0.5000  8 Al 2.54-2.68
Pt  0.1564  0.8279  0.5000  8 Al 2.54-2.68
Pt  0.1721  0.3436  0.0000  8 Al 2.54-2.68
Pt  0.8279  0.6564  0.0000  8 Al 2.54-2.68

=====

Crystalline TcAg3 at its relaxed geometry, computed with GGA-PBE.

Properties
DFT total energy, eV for the cell shown: -17.45
ΔH_f (0 K), eV per atom: 0.368

Cell lengths 9.8767, 9.8767, 9.8767 Å; angles 16.46, 16.46, 16.46 degrees
Closest atoms and distances in Å follow each position.
Fractional coordinates of all 4 atoms:
Ag  0.0020  0.0020  0.0020  9 Ag 2.83-2.98, 3 Tc 2.88
Ag  0.2500  0.2500  0.2500  12 Ag 2.83-2.98
Ag  0.4980  0.4980  0.4980  9 Ag 2.83-2.98, 3 Tc 2.88
Tc  0.7500  0.7500  0.7500  6 Tc 2.83, 6 Ag 2.88

=====

Crystalline RbAsRuAu at its relaxed geometry, computed with GGA-PBE.

Properties
DFT total energy, eV for the cell shown: -38.92
ΔH_f (0 K), eV per atom: -0.322

Cell lengths 3.9965, 3.9965, 12.9646 Å; angles 90.00, 90.00, 90.00 degrees
Closest atoms and distances in Å follow each position.
Fractional coordinates of all 8 atoms:
Rb  0.7500  0.7500  0.2711  4 As 3.52, 4 Au 3.58
Rb  0.2500  0.2500  0.7289  4 As 3.52, 4 Au 3.58
As  0.7500  0.7500  0.8910  4 Ru 2.45
As  0.2500  0.2500  0.1090  4 Ru 2.45
Ru  0.7500  0.2500  0.0000  4 As 2.45
Ru  0.2500  0.7500  0.0000  4 As 2.45
Au  0.2500  0.7500  0.5000  4 Au 2.83
Au  0.7500  0.2500  0.5000  4 Au 2.83